The following is a DFT calculation (PBE) of a geometry-optimized Tc2Bi2O7 structure.

Cell and atoms, written as POSCAR:
```
Tc2Bi2O7
1.0
5.6589 -0.1052 -0.1202
-0.4794 5.9426 -0.7830
-0.4794 -1.5665 5.7856
Tc Bi O
2 2 7
Cartesian
2.0256 1.0677 1.2205 Tc
2.6744 3.2032 3.6618 Tc
-0.4794 0.7695 3.7421 Bi
-0.4794 3.6065 1.2605 Bi
3.7392 4.5143 2.7516 O
0.9609 2.1442 0.0421 O
0.9609 -0.2435 2.1308 O
3.7392 2.1266 4.8403 O
2.8295 -0.0526 -0.0601 O
1.1276 2.4135 2.7591 O
3.5724 1.8573 2.1233 O
```

Results
Size of the total moment (μB per atom): 0.1800
ΔE_f (raw) (eV/f.u.): -12.1
Electronic total energy (eV/atom): -6.85

=====

The following is a DFT calculation (PBE) of a geometry-optimized Pu5MgAu6 structure.

Cell and atoms, written as POSCAR:
```
Pu5MgAu6
1.0
4.9372 -0.2568 0.6985
-0.0443 6.7888 2.8081
1.1981 0.4327 8.5812
Mg Au Pu
1 6 5
Cartesian
0.0000 0.0000 0.0000 Mg
4.4904 4.1184 4.9668 Au
4.5146 0.4149 3.4350 Au
3.6318 5.6605 11.1458 Au
2.4592 1.3041 0.9419 Au
1.5764 6.5497 8.6527 Au
1.6005 2.8462 7.1209 Au
4.1492 1.3647 6.3752 Pu
2.0329 2.3799 3.8883 Pu
-0.0221 3.3944 1.4040 Pu
4.0581 4.5848 8.1994 Pu
1.9418 5.6000 5.7125 Pu
```

Results
Size of the total moment (μB per atom): 2.4168
Electronic total energy (eV/atom): -8.17

=====

The following is a DFT calculation (PBE) of a geometry-optimized RbGaSnSe4 structure.

Cell and atoms, written as POSCAR:
```
RbGaSnSe4
1.0
-2.0969 2.1831 -5.8304
6.2800 -3.5226 -3.5775
-4.2224 -8.5695 1.0259
Rb Ga Sn Se
2 2 2 8
Cartesian
-0.7075 -8.7592 -6.1696 Rb
0.6681 -1.1498 -2.2125 Rb
3.0094 -4.8816 -3.4631 Ga
-3.0487 -5.0274 -4.9190 Ga
1.9346 -3.8259 -6.3893 Sn
-1.9739 -6.0831 -1.9927 Sn
-0.0861 -7.6965 -1.3286 Se
2.9927 -3.8650 -8.7316 Se
0.0468 -2.2125 -7.0534 Se
-3.0320 -6.0440 0.3496 Se
3.5198 -2.7661 -4.6500 Se
-3.5591 -7.1428 -3.7320 Se
1.4954 -5.9560 -5.0628 Se
-1.5347 -3.9530 -3.3192 Se
```

Results
Polymorph energy (0 for the lowest one) (eV/atom): 0.0763
Size of the total moment (μB per atom): 0.0000
ΔE_f (raw) (eV/f.u.): -4.6
Electronic total energy (eV/atom): -3.79

=====

The following is a DFT calculation (PBE) of a geometry-optimized GaSn2Os structure.

Cell and atoms, written as POSCAR:
```
GaSn2Os
1.0
6.3195 0.0000 0.0000
0.0000 6.3195 0.0000
3.1598 3.1598 5.8648
Os Sn Ga
2 4 2
Cartesian
0.0000 0.0000 0.0000 Os
6.3195 3.1598 2.9324 Os
4.9161 1.5799 1.4662 Sn
1.4034 4.7396 1.4662 Sn
4.7396 4.5632 4.3986 Sn
7.8994 8.0759 4.3986 Sn
3.1598 3.1598 0.0000 Ga
3.1598 6.3195 2.9324 Ga
```

Results
Size of the total moment (μB per atom): 0.0000
Electronic total energy (eV/atom): -4.84

=====

The following is a DFT calculation (PBE) of a geometry-optimized MgCu3W structure.

Cell and atoms, written as POSCAR:
```
MgCu3W
1.0
-1.8273 3.6238 -2.3765
-4.3313 -1.4437 1.1289
0.1404 2.6273 3.8983
Mg Cu W
1 3 1
Cartesian
-3.0091 2.4037 1.3254 Mg
-2.1656 -0.7219 0.5645 Cu
0.0702 1.3136 1.9491 Cu
-0.9137 1.8119 -1.1882 Cu
0.0000 0.0000 0.0000 W
```

Results
Polymorph energy (0 for the lowest one) (eV/atom): 0.0000
Size of the total moment (μB per atom): 0.0000
Electronic total energy (eV/atom): -4.06

=====

The following is a DFT calculation (PBE) of a geometry-optimized TbHo2Pd structure.

Cell and atoms, written as POSCAR:
```
TbHo2Pd
1.0
5.2520 0.0000 0.0000
2.6260 4.5484 0.0000
2.6260 1.5161 4.2796
Tb Ho Pd
1 2 1
Cartesian
5.2520 3.0323 2.1398 Tb
2.6260 1.5161 1.0738 Ho
7.8780 4.5484 3.2058 Ho
0.0000 0.0000 0.0000 Pd
```

Results
Polymorph energy (0 for the lowest one) (eV/atom): 0.3729
Size of the total moment (μB per atom): 0.0004
Electronic total energy (eV/atom): -4.85